A plane-wave DFT calculation with PBE-GGA was carried out for a relaxed Mg2ReIr2 crystal.

Properties
Space group: P4/mbm, No. 127

Unit cell a=6.441 b=6.441 c=4.253 alpha=90.00 beta=90.00 gamma=90.00
Fractional positions:
Mg  0.174  0.326  0.000
Mg  0.326  0.826  0.000
Mg  0.674  0.174  0.000
Mg  0.826  0.674  0.000
Re  0.000  0.000  0.500
Re  0.500  0.500  0.500
Ir  0.136  0.636  0.500
Ir  0.364  0.136  0.500
Ir  0.636  0.864  0.500
Ir  0.864  0.364  0.500

A plane-wave DFT calculation with PBE-GGA was carried out for a relaxed MgReIr2 crystal.

Properties
Space group: P4/mmm, No. 123

Unit cell a=2.817 b=2.817 c=7.628 alpha=90.00 beta=90.00 gamma=90.00
Fractional positions:
Mg  0.000  0.000  0.000
Re  0.000  0.000  0.500
Ir  0.500  0.500  0.263
Ir  0.500  0.500  0.737

A plane-wave DFT calculation with PBE-GGA was carried out for a relaxed MgRe2Ir crystal.

Properties
Space group: P4/mmm, No. 123

Unit cell a=4.706 b=4.706 c=2.752 alpha=90.00 beta=90.00 gamma=90.00
Fractional positions:
Mg  0.000  0.000  0.000
Re  0.000  0.500  0.500
Re  0.500  0.000  0.500
Ir  0.500  0.500  0.000

A plane-wave DFT calculation with PBE-GGA was carried out for a relaxed MgRe4Ir crystal.

Properties
Space group: F-43m, No. 216

Unit cell a=5.176 b=5.176 c=5.176 alpha=60.00 beta=60.00 gamma=60.00
Fractional positions:
Mg  0.000  0.000  0.000
Re  0.123  0.626  0.626
Re  0.626  0.123  0.626
Re  0.626  0.626  0.123
Re  0.626  0.626  0.626
Ir  0.250  0.250  0.250

ΔH_f (0 K), record by record: -8, -112, 154, 236 kJ/mol of formula units
V, record by record: 176.41, 60.53, 60.94, 98.03 Å³ per cell
M_tot, record by record: 0.00, 0.00, 0.00, 0.00 μB/f.u.